Entry 1:
Entry from the Alexandria database: a geometry-optimized CsSr4Tl5 structure (PBE).

Computed properties:
VASP energy: -2.281 eV per atom
D(E_F): 0.57 states/eV per atom
total moment: 0.00 μB per atom
space-group type: No. 123
formation energy from the elements: -0.34 eV per atom

Lattice parameters (Å, degrees): 4.164 4.164 21.381 90.00 90.00 90.00
Fractional positions:
1 Cs 0.000 0.000 0.000
2 Sr 0.000 0.000 0.218
3 Sr 0.000 0.000 0.406
4 Sr 0.000 0.000 0.594
5 Sr 0.000 0.000 0.782
6 Tl 0.500 0.500 0.131
7 Tl 0.500 0.500 0.310
8 Tl 0.500 0.500 0.500
9 Tl 0.500 0.500 0.690
10 Tl 0.500 0.500 0.869

=====

Entry 2:
Entry from the Alexandria database: a geometry-optimized NaY2Ti structure (PBE).

Computed properties:
VASP energy: -4.826 eV per atom
D(E_F): 1.56 states/eV per atom
total moment: 0.74 μB per atom
space-group type: No. 122
formation energy from the elements: 0.71 eV per atom

Lattice parameters (Å, degrees): 8.281 8.281 6.710 51.90 51.90 90.00
Fractional positions:
1 Y 0.626 0.125 0.250
2 Y 0.124 0.625 0.250
3 Y 0.375 0.374 0.750
4 Y 0.875 0.876 0.750
5 Na 0.500 0.500 0.000
6 Na 0.250 0.750 0.500
7 Ti 0.000 0.000 0.000
8 Ti 0.750 0.250 0.500

=====

Entry 3:
Entry from the Alexandria database: a geometry-optimized Pm6Co2Au structure (PBE).

Computed properties:
VASP energy: -5.355 eV per atom
D(E_F): 1.01 states/eV per atom
total moment: 0.00 μB per atom
space-group type: No. 71
formation energy from the elements: -0.24 eV per atom

Lattice parameters (Å, degrees): 8.492 8.492 8.492 107.61 108.63 112.21
Fractional positions:
1 Pm 0.538 0.717 0.821
2 Pm 0.462 0.283 0.179
3 Pm 0.104 0.283 0.821
4 Pm 0.896 0.717 0.179
5 Pm 0.804 0.767 0.571
6 Pm 0.196 0.233 0.429
7 Pm 0.196 0.767 0.963
8 Pm 0.804 0.233 0.037
9 Pm 0.688 0.361 0.673
10 Pm 0.312 0.639 0.327
11 Pm 0.312 0.985 0.673
12 Pm 0.688 0.015 0.327
13 Co 0.500 0.387 0.887
14 Co 0.500 0.613 0.113
15 Co 0.657 0.000 0.657
16 Co 0.343 0.000 0.343
17 Au 0.000 0.500 0.500
18 Au 0.000 0.000 0.000

=====

Entry 4:
Entry from the Alexandria database: a geometry-optimized TbYAs2Rh5 structure (PBE).

Computed properties:
VASP energy: -7.143 eV per atom
D(E_F): 0.58 states/eV per atom
total moment: 0.00 μB per atom
space-group type: No. 123
formation energy from the elements: -0.79 eV per atom

Lattice parameters (Å, degrees): 4.237 4.237 8.803 90.00 90.00 90.00
Fractional positions:
1 Tb 0.000 0.000 0.500
2 Y 0.000 0.000 0.000
3 As 0.500 0.500 0.147
4 As 0.500 0.500 0.853
5 Rh 0.000 0.500 0.268
6 Rh 0.500 0.000 0.268
7 Rh 0.000 0.500 0.732
8 Rh 0.500 0.000 0.732
9 Rh 0.500 0.500 0.500

=====

Entry 5:
Entry from the Alexandria database: a geometry-optimized YBiSe2F structure (PBE).

Computed properties:
VASP energy: -3.911 eV per atom
D(E_F): 1.17 states/eV per atom
formation energy (no corrections): -74.1 meV/atom
total moment: 0.00 μB per atom
space-group type: No. 123

Lattice parameters (Å, degrees): 5.387 6.008 5.387 90.00 90.00 90.00
Fractional positions:
1 Y 0.000 0.500 0.000
2 Bi 0.000 0.000 0.000
3 Se 0.000 0.000 0.500
4 Se 0.500 0.000 0.000
5 F 0.500 0.500 0.500

=====

Entry 6:
Entry from the Alexandria database: a geometry-optimized BaGdGa2 structure (PBE).

Computed properties:
VASP energy: -5.697 eV per atom
D(E_F): 0.96 states/eV per atom
total moment: 1.89 μB per atom
space-group type: No. 166
formation energy from the elements: -0.18 eV per atom

Lattice parameters (Å, degrees): 3.896 3.896 9.708 78.43 78.43 60.00
Fractional positions:
1 Gd 0.000 0.000 0.000
2 Ba 0.500 0.500 0.500
3 Ga 0.258 0.258 0.225
4 Ga 0.742 0.742 0.775

=====

Entry 7:
Entry from the Alexandria database: a geometry-optimized AlSbAs2Se structure (PBE).

Computed properties:
VASP energy: -3.317 eV per atom
D(E_F): 1.30 states/eV per atom
formation energy (no corrections): 812.6 meV/atom
total moment: 0.02 μB per atom
space-group type: No. 123

Lattice parameters (Å, degrees): 5.280 5.280 5.373 90.00 90.00 90.00
Fractional positions:
1 Sb 0.000 0.000 0.000
2 As 0.000 0.500 0.000
3 As 0.500 0.000 0.000
4 Al 0.500 0.500 0.500
5 Se 0.000 0.000 0.500

=====

Which value of total moment does entry 4 give? 0.00 μB per atom

=====

Please write out number 7 again, unchanged.
Entry from the Alexandria database: a geometry-optimized AlSbAs2Se structure (PBE).

Computed properties:
VASP energy: -3.317 eV per atom
D(E_F): 1.30 states/eV per atom
formation energy (no corrections): 812.6 meV/atom
total moment: 0.02 μB per atom
space-group type: No. 123

Lattice parameters (Å, degrees): 5.280 5.280 5.373 90.00 90.00 90.00
Fractional positions:
1 Sb 0.000 0.000 0.000
2 As 0.000 0.500 0.000
3 As 0.500 0.000 0.000
4 Al 0.500 0.500 0.500
5 Se 0.000 0.000 0.500